[1]
Sr5Np3Te12, relaxed, DFT PBE; uncorrected formation energy = -765.2 meV/atom
1.0
-0.9036 4.6902 -15.4427
-9.9917 -12.4707 2.4371
-4.2576 12.2749 9.6172
Sr Te Np
20 48 12
direct
0.5000 0.5000 0.0000
0.6250 0.8750 0.2500
0.8750 0.2500 0.6250
0.3750 0.1250 0.7500
0.0000 0.0000 0.0000
0.7500 0.6250 0.3750
0.2500 0.8750 0.1250
0.7500 0.1250 0.8750
0.2500 0.3750 0.6250
0.5000 0.0000 0.5000
0.1250 0.7500 0.3750
0.5000 0.0000 0.0000
0.3750 0.2500 0.1250
0.1250 0.3750 0.2500
0.0000 0.0000 0.5000
0.5000 0.5000 0.5000
0.8750 0.6250 0.7500
0.0000 0.5000 0.0000
0.0000 0.5000 0.5000
0.6250 0.7500 0.8750
0.0694 0.8974 0.1371
0.3974 0.2603 0.3279
0.7603 0.3279 0.8974
0.0677 0.4306 0.8279
0.4323 0.6721 0.0694
0.1026 0.1721 0.2397
0.5677 0.3279 0.9306
0.1371 0.3974 0.0694
0.1721 0.0694 0.9323
0.8974 0.8279 0.7603
0.3629 0.9323 0.7603
0.9306 0.8279 0.5677
0.9323 0.3629 0.2603
0.3629 0.4306 0.1026
0.6721 0.4323 0.5694
0.4306 0.3629 0.6026
0.7397 0.1371 0.0677
0.3279 0.5677 0.4306
0.3279 0.7603 0.3974
0.7397 0.6026 0.1721
0.5677 0.2397 0.1371
0.6371 0.0677 0.2397
0.4323 0.7603 0.8629
0.5694 0.6371 0.3974
0.2397 0.6721 0.1026
0.6721 0.2397 0.6026
0.0677 0.6371 0.7397
0.9323 0.5694 0.1721
0.2603 0.3974 0.8279
0.8974 0.0694 0.6371
0.6026 0.8629 0.4306
0.6371 0.5694 0.8974
0.8629 0.2603 0.4323
0.6026 0.7397 0.6721
0.1026 0.9306 0.3629
0.8629 0.6026 0.9306
0.9306 0.1026 0.8629
0.8279 0.9306 0.0677
0.1371 0.7397 0.5677
0.5694 0.9323 0.6721
0.4306 0.0677 0.3279
0.7603 0.4323 0.3629
0.0694 0.1721 0.4323
0.1721 0.1026 0.7397
0.2397 0.5677 0.6371
0.3974 0.1371 0.5694
0.8279 0.8974 0.2603
0.2603 0.8629 0.9323
0.6250 0.3750 0.7500
0.6250 0.2500 0.3750
0.2500 0.1250 0.3750
0.7500 0.3750 0.1250
0.3750 0.7500 0.6250
0.1250 0.2500 0.8750
0.1250 0.8750 0.7500
0.2500 0.6250 0.8750
0.8750 0.1250 0.2500
0.8750 0.7500 0.1250
0.7500 0.8750 0.6250
0.3750 0.6250 0.2500

---

[2]
SrNpTe3, relaxed, DFT PBE; uncorrected formation energy = -805.8 meV/atom
1.0
-0.2501 2.1494 -5.5010
-7.6681 0.5862 0.5778
4.6978 7.8925 2.8703
Te Np Sr
6 2 2
direct
0.5000 0.0000 0.5000
0.0000 0.1337 0.2673
0.5000 0.2721 0.0000
0.5000 0.5000 0.5000
0.5000 0.7279 0.0000
0.0000 0.8663 0.7327
0.5000 0.1193 0.2385
0.5000 0.8807 0.7615
0.0000 0.3206 0.6412
0.0000 0.6794 0.3588

---

[3]
SrNpTe2, relaxed, DFT PBE; uncorrected formation energy = -1080.0 meV/atom
1.0
-3.4559 -2.2795 -1.8389
-1.6845 -3.6425 2.1013
-6.6213 2.4516 3.8248
Np Te Sr
1 2 1
direct
0.0000 0.0000 0.0000
0.2552 0.2552 0.2343
0.7448 0.7448 0.7657
0.5000 0.5000 0.5000

---

[4]
SrNp2Te4, relaxed, DFT PBE; uncorrected formation energy = -926.5 meV/atom
1.0
4.4527 0.0000 0.0000
-2.2264 7.2193 0.0000
0.0000 0.0000 15.3074
Te Sr Np
8 2 4
direct
0.2279 0.4557 0.6192
0.2279 0.4557 0.8808
0.5000 0.0000 0.5000
0.7721 0.5443 0.1192
0.5000 0.0000 0.0000
0.7721 0.5443 0.3808
0.0580 0.1161 0.2500
0.9420 0.8839 0.7500
0.3892 0.7783 0.2500
0.6108 0.2217 0.7500
0.1343 0.2685 0.4358
0.8657 0.7315 0.5642
0.8657 0.7315 0.9358
0.1343 0.2685 0.0642

---

[5]
SrNp2Te4, relaxed, DFT PBE; uncorrected formation energy = -894.7 meV/atom
1.0
7.9460 0.0000 4.5799
2.7121 7.4484 4.4776
0.0457 0.0678 9.1036
Te Np Sr
8 4 2
direct
0.7517 0.2355 0.2611
0.7587 0.7566 0.2566
0.7719 0.2434 0.7434
0.2483 0.2389 0.2645
0.2413 0.2434 0.7434
0.2483 0.7645 0.7389
0.7517 0.7611 0.7355
0.2281 0.7566 0.2566
0.0000 0.0000 0.0000
0.0000 0.5000 0.5000
0.5000 0.0000 0.5000
0.0000 0.0000 0.5000
0.5000 0.5000 0.0000
0.0000 0.5000 0.0000

---

[6]
Sr2NpZnTe5, relaxed, DFT PBE; uncorrected formation energy = -1032.3 meV/atom
1.0
4.4585 0.0000 0.0000
-2.2292 9.8714 0.0000
0.0000 0.0000 13.7199
Zn Np Sr Te
2 2 4 10
direct
0.4365 0.8731 0.4404
0.5635 0.1269 0.9404
0.2029 0.4058 0.0180
0.7971 0.5942 0.5180
0.1199 0.2399 0.3202
0.1132 0.2265 0.6850
0.8868 0.7735 0.1850
0.8801 0.7601 0.8202
0.7072 0.4143 0.1700
0.0506 0.1011 0.0499
0.9494 0.8989 0.5499
0.4990 0.9981 0.2725
0.3565 0.7130 0.0057
0.3061 0.6122 0.3622
0.2928 0.5857 0.6700
0.6939 0.3878 0.8622
0.6435 0.2870 0.5057
0.5010 0.0019 0.7725

---

no.,calculated total energy (eV/atom),V (Å³/f.u.)
1,-5.012,812.8
2,-5.615,201.0
3,-6.307,134.9
4,-6.659,246.0
5,-6.628,267.8
6,-4.731,301.9